1.
First-principles (GGA-PBE) data for an optimized crystal structure of SrLaCo2, as listed in Alexandria via LeMat-Bulk.

Calculated values
The calculation puts the total moment at 1.4 μB per formula unit. As for the space group: I-4m2, No. 119. For the energy above the most stable polymorph in this dataset, the calculation gives 457 meV per atom. The energy of formation from the pure elements comes out at 0.53 eV/atom.

Lattice parameters (Å, degrees): 6.0618 6.0618 6.0618 140.43 140.43 57.20
Element x y z (fractional)
La 0.5000 0.5000 0.0000
Sr 0.7500 0.2500 0.5000
Co 0.0000 0.0000 0.0000
Co 0.2500 0.7500 0.5000

---

2.
First-principles (GGA-PBE) data for an optimized crystal structure of InOs2Br, as listed in Alexandria via LeMat-Bulk.

Calculated values
The calculation puts the total moment at 0.0 μB per formula unit. As for the space group: Immm, No. 71. As for the uncorrected formation energy: 1082 meV/atom. For the energy above the most stable polymorph in this dataset, the calculation gives 614 meV per atom.

Lattice parameters (Å, degrees): 5.5582 5.5582 5.5582 149.77 125.38 63.71
Element x y z (fractional)
Os 0.5086 0.5086 0.0000
In 0.2500 0.7500 0.5000
Os 0.9914 0.9914 0.0000
Br 0.7500 0.2500 0.5000

---

3.
First-principles (GGA-PBE) data for an optimized crystal structure of CuSn, as listed in Alexandria via LeMat-Bulk.

Calculated values
The calculation puts the total moment at 0.0 μB per formula unit. As for the space group: I-43m, No. 217. The energy of formation from the pure elements comes out at 0.43 eV/atom.

Lattice parameters (Å, degrees): 8.0737 8.0737 8.0737 90.00 90.00 90.00
Element x y z (fractional)
Sn 0.3575 0.3575 0.3575
Sn 0.8575 0.1425 0.1425
Sn 0.3575 0.6425 0.6425
Sn 0.6425 0.3575 0.6425
Cu 0.6764 0.3236 0.3236
Sn 0.6425 0.6425 0.3575
Cu 0.3236 0.3236 0.6764
Cu 0.1764 0.1764 0.1764
Cu 0.8236 0.8236 0.1764
Sn 0.8575 0.8575 0.8575
Sn 0.1425 0.1425 0.8575
Cu 0.6764 0.6764 0.6764
Cu 0.1764 0.8236 0.8236
Cu 0.3236 0.6764 0.3236
Cu 0.8236 0.1764 0.8236
Sn 0.1425 0.8575 0.1425